A plane-wave DFT calculation with PBE was carried out for a geometry-optimized Y3ErTm4 structure.

Results
DOS(E_F) = 13.4 states/eV/f.u.
excess energy over the best structure of this formula in the dataset = 170 meV per atom
size of the total moment = 0.00 μB per atom

abc: 11.7842 11.7842 6.5671
angles: 106.15 106.15 16.86
Element x y z (fractional)
1 Y 0.0000 0.0000 0.0000
2 Y 0.1257 0.1257 0.3797
3 Y 0.8743 0.8743 0.6203
4 Er 0.5000 0.5000 0.5000
5 Tm 0.1247 0.1247 0.8659
6 Tm 0.2611 0.2611 0.2566
7 Tm 0.7389 0.7389 0.7434
8 Tm 0.8753 0.8753 0.1341

=====

A plane-wave DFT calculation with PBE was carried out for a geometry-optimized YEr7Tm12 structure.

Results
DOS(E_F) = 23.9 states/eV/f.u.
excess energy over the best structure of this formula in the dataset = 433 meV per atom
size of the total moment = 0.00 μB per atom

abc: 9.6481 9.6481 9.6481
angles: 109.47 109.47 109.47
Element x y z (fractional)
1 Y 0.0000 0.0000 0.0000
2 Er 0.0000 0.0000 0.5000
3 Er 0.0000 0.5000 0.0000
4 Er 0.0000 0.5000 0.5000
5 Er 0.5000 0.0000 0.0000
6 Er 0.5000 0.0000 0.5000
7 Er 0.5000 0.5000 0.0000
8 Er 0.5000 0.5000 0.5000
9 Tm 0.0009 0.7472 0.2537
10 Tm 0.2528 0.2537 0.5065
11 Tm 0.2528 0.7463 0.9991
12 Tm 0.2537 0.0009 0.7472
13 Tm 0.2537 0.5065 0.2528
14 Tm 0.4935 0.7472 0.7463
15 Tm 0.5065 0.2528 0.2537
16 Tm 0.7463 0.4935 0.7472
17 Tm 0.7463 0.9991 0.2528
18 Tm 0.7472 0.2537 0.0009
19 Tm 0.7472 0.7463 0.4935
20 Tm 0.9991 0.2528 0.7463

=====

A plane-wave DFT calculation with PBE was carried out for a geometry-optimized Y3Er2Tm7 structure.

Results
DOS(E_F) = 21.6 states/eV/f.u.
excess energy over the best structure of this formula in the dataset = 90 meV per atom
size of the total moment = 0.00 μB per atom

abc: 18.6568 18.6568 3.5629
angles: 90.00 90.00 162.24
Element x y z (fractional)
1 Y 0.0000 0.0000 0.0000
2 Y 0.1506 0.8494 0.0000
3 Y 0.8494 0.1506 0.0000
4 Er 0.3245 0.6755 0.5000
5 Er 0.6755 0.3245 0.5000
6 Tm 0.0729 0.9271 0.5000
7 Tm 0.2301 0.7699 0.5000
8 Tm 0.4100 0.5900 0.0000
9 Tm 0.5000 0.5000 0.5000
10 Tm 0.5900 0.4100 0.0000
11 Tm 0.7699 0.2301 0.5000
12 Tm 0.9271 0.0729 0.5000

=====

A plane-wave DFT calculation with PBE was carried out for a geometry-optimized Y2ErTm2 structure.

Results
DOS(E_F) = 4.1 states/eV/f.u.
excess energy over the best structure of this formula in the dataset = 67 meV per atom
size of the total moment = 0.00 μB per atom

abc: 9.2518 9.2518 3.6871
angles: 90.00 90.00 90.00
Element x y z (fractional)
1 Y 0.1725 0.3275 0.0000
2 Y 0.3275 0.8275 0.0000
3 Y 0.6725 0.1725 0.0000
4 Y 0.8275 0.6725 0.0000
5 Er 0.0000 0.0000 0.5000
6 Er 0.5000 0.5000 0.5000
7 Tm 0.1258 0.6258 0.5000
8 Tm 0.3742 0.1258 0.5000
9 Tm 0.6258 0.8742 0.5000
10 Tm 0.8742 0.3742 0.5000

=====

A plane-wave DFT calculation with PBE was carried out for a geometry-optimized YEr5Tm6 structure.

Results
DOS(E_F) = 17.2 states/eV/f.u.
size of the total moment = 0.00 μB per atom

abc: 6.0617 6.0617 11.6098
angles: 94.99 94.99 119.93
Element x y z (fractional)
1 Y 0.0000 0.0000 0.0000
2 Er 0.1667 0.8333 0.5000
3 Er 0.3334 0.6666 0.0000
4 Er 0.5000 0.5000 0.5000
5 Er 0.6666 0.3334 0.0000
6 Er 0.8333 0.1667 0.5000
7 Tm 0.0834 0.4175 0.2507
8 Tm 0.2508 0.2508 0.7493
9 Tm 0.4175 0.0834 0.2507
10 Tm 0.5825 0.9166 0.7493
11 Tm 0.7492 0.7492 0.2507
12 Tm 0.9166 0.5825 0.7493

=====

A plane-wave DFT calculation with PBE was carried out for a geometry-optimized Y5ErTm structure.

Results
DOS(E_F) = 8.8 states/eV/f.u.
size of the total moment = 0.00 μB per atom

abc: 6.1738 6.1738 6.8653
angles: 99.51 99.51 111.81
Element x y z (fractional)
1 Y 0.0000 0.0000 0.0000
2 Y 0.0946 0.5276 0.2678
3 Y 0.4724 0.9054 0.7322
4 Y 0.5276 0.0946 0.2678
5 Y 0.9054 0.4724 0.7322
6 Er 0.0000 0.0000 0.5000
7 Tm 0.5000 0.5000 0.0000

=====

A plane-wave DFT calculation with PBE was carried out for a geometry-optimized YEr4Tm structure.

Results
DOS(E_F) = 9.8 states/eV/f.u.
excess energy over the best structure of this formula in the dataset = 224 meV per atom
size of the total moment = 0.01 μB per atom

abc: 6.4979 6.4979 6.4979
angles: 60.00 60.00 60.00
Element x y z (fractional)
1 Y 0.0000 0.0000 0.0000
2 Er 0.3750 0.3750 0.3750
3 Er 0.3750 0.3750 0.8751
4 Er 0.3750 0.8751 0.3750
5 Er 0.8751 0.3750 0.3750
6 Tm 0.7500 0.7500 0.7500

=====

A plane-wave DFT calculation with PBE was carried out for a geometry-optimized YEr6Tm3 structure.

Results
DOS(E_F) = 15.5 states/eV/f.u.
excess energy over the best structure of this formula in the dataset = 0 meV per atom
size of the total moment = 0.00 μB per atom

abc: 11.3876 11.3876 6.2989
angles: 90.00 90.00 130.66
Element x y z (fractional)
1 Y 0.1616 0.8384 0.5000
2 Y 0.8384 0.1616 0.0000
3 Er 0.0146 0.9854 0.3017
4 Er 0.1044 0.5426 0.8137
5 Er 0.2584 0.3785 0.0541
6 Er 0.3018 0.6982 0.2705
7 Er 0.3785 0.2584 0.5541
8 Er 0.4574 0.8956 0.8137
9 Er 0.5426 0.1044 0.3137
10 Er 0.6215 0.7416 0.0541
11 Er 0.6982 0.3018 0.7705
12 Er 0.7416 0.6215 0.5541
13 Er 0.8956 0.4574 0.3137
14 Er 0.9854 0.0146 0.8017
15 Tm 0.0432 0.2957 0.4753
16 Tm 0.2957 0.0432 0.9753
17 Tm 0.4193 0.5807 0.5801
18 Tm 0.5807 0.4193 0.0801
19 Tm 0.7043 0.9568 0.4753
20 Tm 0.9568 0.7043 0.9753

=====

A plane-wave DFT calculation with PBE was carried out for a geometry-optimized Y4ErTm2 structure.

Results
DOS(E_F) = 12.6 states/eV/f.u.
excess energy over the best structure of this formula in the dataset = 0 meV per atom
size of the total moment = 0.00 μB per atom

abc: 8.4997 8.4997 8.6723
angles: 118.89 118.89 24.00
Element x y z (fractional)
1 Y 0.1390 0.1390 0.3314
2 Y 0.2037 0.2037 0.7934
3 Y 0.7963 0.7963 0.2066
4 Y 0.8610 0.8610 0.6686
5 Er 0.5000 0.5000 0.5000
6 Tm 0.4300 0.4300 0.0704
7 Tm 0.5700 0.5700 0.9296

=====

A plane-wave DFT calculation with PBE was carried out for a geometry-optimized Y5Er5Tm2 structure.

Results
DOS(E_F) = 16.6 states/eV/f.u.
excess energy over the best structure of this formula in the dataset = 0 meV per atom
size of the total moment = 0.00 μB per atom

abc: 7.8937 7.8937 11.1724
angles: 115.08 115.08 36.84
Element x y z (fractional)
1 Y 0.0000 0.0000 0.0000
2 Y 0.1653 0.1653 0.4994
3 Y 0.2504 0.2504 0.2492
4 Y 0.7496 0.7496 0.7508
5 Y 0.8347 0.8347 0.5006
6 Er 0.3328 0.3328 0.9999
7 Er 0.4180 0.4180 0.7504
8 Er 0.5000 0.5000 0.5000
9 Er 0.5820 0.5820 0.2496
10 Er 0.6672 0.6672 0.0001
11 Tm 0.0834 0.0834 0.7514
12 Tm 0.9166 0.9166 0.2486

=====

A plane-wave DFT calculation with PBE was carried out for a geometry-optimized Y3Er3Tm2 structure.

Results
DOS(E_F) = 16.9 states/eV/f.u.
excess energy over the best structure of this formula in the dataset = 0 meV per atom
size of the total moment = 0.00 μB per atom

abc: 8.4982 8.4982 5.9689
angles: 110.20 110.20 38.84
Element x y z (fractional)
1 Y 0.0000 0.0000 0.0000
2 Y 0.1327 0.1327 0.5756
3 Y 0.8673 0.8673 0.4244
4 Er 0.3680 0.3680 0.8119
5 Er 0.5000 0.5000 0.5000
6 Er 0.6320 0.6320 0.1881
7 Tm 0.2504 0.2504 0.1835
8 Tm 0.7496 0.7496 0.8165

=====

A plane-wave DFT calculation with PBE was carried out for a geometry-optimized Y5ErTm2 structure.

Results
DOS(E_F) = 14.4 states/eV/f.u.
excess energy over the best structure of this formula in the dataset = 0 meV per atom
size of the total moment = 0.00 μB per atom

abc: 6.5486 6.5486 15.7711
angles: 90.00 90.00 130.41
Element x y z (fractional)
1 Y 0.0409 0.9591 0.7500
2 Y 0.1211 0.8789 0.0478
3 Y 0.1211 0.8789 0.4522
4 Y 0.4237 0.5763 0.0950
5 Y 0.4237 0.5763 0.4050
6 Y 0.5763 0.4237 0.5950
7 Y 0.5763 0.4237 0.9050
8 Y 0.8789 0.1211 0.5478
9 Y 0.8789 0.1211 0.9522
10 Y 0.9591 0.0409 0.2500
11 Er 0.2327 0.7673 0.2500
12 Er 0.7673 0.2327 0.7500
13 Tm 0.2791 0.7209 0.6326
14 Tm 0.2791 0.7209 0.8674
15 Tm 0.7209 0.2791 0.1326
16 Tm 0.7209 0.2791 0.3674

=====

| no. | ΔH_f (0 K) (eV/atom) |
| --- | --- |
| 1 | 0.1697 |
| 2 | 0.7532 |
| 3 | 0.1750 |
| 4 | 0.0940 |
| 5 | 0.0263 |
| 6 | 0.2050 |
| 7 | 0.2496 |
| 8 | 0.1260 |
| 9 | 0.0340 |
| 10 | 0.0266 |
| 11 | 0.1011 |
| 12 | 0.1388 |